# 1
## Er6CdNi2 (PBE)

Data for a relaxed structure of Er6CdNi2.

Results
For the volume, the calculation gives 441.2 Å³ per cell. The formation energy comes out at -0.31 eV/atom. The raw total energy comes out at -4.7391 eV/atom.

a b c (Å): 8.3159 8.3159 8.3159
angles (deg): 106.01 109.79 112.68
With the nearest neighbours (Å) after each atom.
Fractional coordinates of all 18 atoms:
Er 0.5262 0.7097 0.8165  3 Ni 2.88-3.13, 1 Cd 3.20
Er 0.4738 0.2903 0.1835  3 Ni 2.88-3.13, 1 Cd 3.20
Er 0.1069 0.2903 0.8165  3 Ni 2.88-3.13, 1 Cd 3.20
Er 0.8931 0.7097 0.1835  3 Ni 2.88-3.13, 1 Cd 3.20
Er 0.7988 0.7654 0.5641  1 Ni 2.76, 1 Cd 3.04
Er 0.2012 0.2346 0.4359  1 Ni 2.76, 1 Cd 3.04
Er 0.2012 0.7654 0.9666  1 Ni 2.76, 1 Cd 3.04
Er 0.7988 0.2346 0.0334  1 Ni 2.76, 1 Cd 3.04
Er 0.6934 0.3699 0.6765  3 Ni 2.69-2.88
Er 0.3066 0.6301 0.3235  3 Ni 2.69-2.88
Er 0.3066 0.9830 0.6765  3 Ni 2.69-2.88
Er 0.6934 0.0170 0.3235  3 Ni 2.69-2.88
Cd 0.0000 0.5000 0.5000  12 Er 3.28-3.59
Cd 0.0000 0.0000 0.0000  8 Er 3.04-3.20, 2 Ni 3.37
Ni 0.5000 0.3778 0.8778  1 Ni 2.45, 2 Er 2.69
Ni 0.5000 0.6222 0.1222  1 Ni 2.45, 2 Er 2.69
Ni 0.6473 0.0000 0.6473  6 Er 2.76-2.88, 1 Ni 2.82
Ni 0.3527 0.0000 0.3527  6 Er 2.76-2.88, 1 Ni 2.82

# 2
## NbTeH2PdI (PBE)

Data for a relaxed structure of NbTeH2PdI.

Results
For the volume, the calculation gives 242.0 Å³ per cell. The energy above the most stable polymorph in this dataset comes out at 240 meV/atom. The raw total energy comes out at -4.4306 eV/atom.

a b c (Å): 3.5580 4.0994 16.8654
angles (deg): 90.00 100.37 90.00
With the nearest neighbours (Å) after each atom.
Fractional coordinates of all 12 atoms:
Nb 0.6198 0.0000 0.3029  2 H 2.05
Nb 0.6198 0.5000 0.8029  2 H 2.05
Te 0.3166 0.0000 0.4626  1 H 1.78
Te 0.3166 0.5000 0.9626  1 H 1.78
H 0.6479 0.0000 0.8040  2 Pd 2.02-2.14, 2 Nb 2.05
H 0.6479 0.5000 0.3040  2 Pd 2.02-2.14, 2 Nb 2.05
H 0.7998 0.0000 0.5142  1 Te 1.78
H 0.7998 0.5000 0.0142  1 Te 1.78
Pd 0.1827 0.0000 0.8687  2 H 2.02-2.14
Pd 0.1827 0.5000 0.3687  2 H 2.02-2.14
I 0.0143 0.0000 0.1741  2 Nb 2.77-2.79
I 0.0143 0.5000 0.6741  2 Nb 2.77-2.79

# 3
## CaIn2Ir2 (PBE)

Data for a relaxed structure of CaIn2Ir2.

Results
For the volume, the calculation gives 110.9 Å³ per cell. The formation energy comes out at -0.29 eV/atom. The raw total energy comes out at -5.3304 eV/atom.

a b c (Å): 4.4492 4.4492 6.4261
angles (deg): 69.75 69.75 90.00
With the nearest neighbours (Å) after each atom.
Fractional coordinates of all 5 atoms:
Ca 0.0000 0.0000 0.0000  8 Ir 3.37, 8 In 3.58
Ir 0.3916 0.3916 0.2168  1 Ir 2.43
Ir 0.6084 0.6084 0.7832  1 Ir 2.43
In 0.7500 0.2500 0.5000  4 Ir 2.73
In 0.2500 0.7500 0.5000  4 Ir 2.73

# 4
## KTlIr2 (PBE)

Data for a relaxed structure of KTlIr2.

Results
For the volume, the calculation gives 95.2 Å³ per cell. The formation energy comes out at 0.31 eV/atom. The energy above the most stable polymorph in this dataset comes out at 0 meV/atom. The raw total energy comes out at -4.9846 eV/atom.

a b c (Å): 4.0371 2.8773 8.6274
angles (deg): 71.78 90.00 90.00
With the nearest neighbours (Å) after each atom.
Fractional coordinates of all 4 atoms:
Ir 0.0000 0.9134 0.0661  6 Ir 2.59-2.88
Ir 0.5000 0.3255 0.1588  6 Ir 2.59-2.88, 1 Tl 2.87
K 0.0000 0.5344 0.4654  2 K 2.88
Tl 0.5000 0.7267 0.8098  3 Ir 2.87-3.16, 2 Tl 2.88

# 5
## SmEr2Se4 (PBE)

Data for a relaxed structure of SmEr2Se4.

Results
For the volume, the calculation gives 384.5 Å³ per cell. The energy above the most stable polymorph in this dataset comes out at 0 meV/atom. The calculation puts the formation energy without anion corrections at -1876 meV/atom. The raw total energy comes out at -5.8452 eV/atom.

a b c (Å): 8.2491 8.1408 8.1408
angles (deg): 60.20 59.56 59.56
With the nearest neighbours (Å) after each atom.
Fractional coordinates of all 14 atoms:
Sm 0.5000 0.5000 0.0000  6 Se 2.89-2.94
Sm 0.0000 0.5000 0.0000  6 Se 2.89-2.94
Er 0.0000 0.0000 0.0000  6 Se 2.86-2.89
Er 0.0000 0.0000 0.5000  6 Se 2.82-2.86
Er 0.0000 0.5000 0.5000  6 Se 2.86-2.89
Er 0.5000 0.0000 0.5000  6 Se 2.82-2.86
Se 0.2529 0.2403 0.2540  3 Er 2.86-2.89, 2 Sm 2.94
Se 0.7471 0.2460 0.2597  3 Er 2.86-2.89, 2 Sm 2.94
Se 0.2529 0.7540 0.7403  3 Er 2.86-2.89, 2 Sm 2.94
Se 0.7471 0.7597 0.7460  3 Er 2.86-2.89, 2 Sm 2.94
Se 0.7544 0.7535 0.2535  3 Er 2.82-2.86, 1 Sm 2.89
Se 0.7613 0.2465 0.7465  3 Er 2.82-2.86, 1 Sm 2.89
Se 0.2387 0.7535 0.2535  3 Er 2.82-2.86, 1 Sm 2.89
Se 0.2456 0.2465 0.7465  3 Er 2.82-2.86, 1 Sm 2.89

# 6
## BaTlBr2 (PBE)

Data for a relaxed structure of BaTlBr2.

Results
For the volume, the calculation gives 148.7 Å³ per cell. The energy above the most stable polymorph in this dataset comes out at 123 meV/atom. The calculation puts the formation energy without anion corrections at -1210 meV/atom. The raw total energy comes out at -3.1183 eV/atom.

a b c (Å): 4.4929 4.9334 6.7084
angles (deg): 90.00 90.00 90.00
With the nearest neighbours (Å) after each atom.
Fractional coordinates of all 4 atoms:
Tl 0.0000 0.0000 0.4404  6 Br 3.35-3.46
Ba 0.5000 0.5000 0.8160  6 Br 3.27-3.44
Br 0.0000 0.0000 0.9394  2 Tl 3.35-3.36, 4 Ba 3.44
Br 0.5000 0.5000 0.3042  2 Ba 3.27-3.43, 4 Tl 3.46

# 7
## CdRh2F (PBE)

Data for a relaxed structure of CdRh2F.

Results
For the volume, the calculation gives 62.4 Å³ per cell. The energy above the most stable polymorph in this dataset comes out at 334 meV/atom. The calculation puts the formation energy without anion corrections at 236 meV/atom. The raw total energy comes out at -4.1367 eV/atom.

a b c (Å): 4.4525 4.4525 4.4525
angles (deg): 60.00 60.00 60.00
With the nearest neighbours (Å) after each atom.
Fractional coordinates of all 4 atoms:
F 0.0000 0.0000 0.0000  8 Rh 2.73
Rh 0.2500 0.2500 0.2500  4 Cd 2.73, 4 F 2.73
Rh 0.7500 0.7500 0.7500  4 Cd 2.73, 4 F 2.73
Cd 0.5000 0.5000 0.5000  8 Rh 2.73

# 8
## FeTc2Cl (PBE)

Data for a relaxed structure of FeTc2Cl.

Results
For the volume, the calculation gives 58.6 Å³ per cell. The energy above the most stable polymorph in this dataset comes out at 335 meV/atom. The calculation puts the formation energy without anion corrections at 581 meV/atom. The raw total energy comes out at -7.1796 eV/atom.

a b c (Å): 2.7782 2.7782 8.5203
angles (deg): 90.00 90.00 117.05
With the nearest neighbours (Å) after each atom.
Fractional coordinates of all 4 atoms:
Cl 0.5000 0.5000 0.2500  4 Tc 2.63, 6 Cl 2.78-2.90
Tc 0.0000 0.0000 0.9926  2 Fe 2.53, 2 Cl 2.63, 4 Tc 2.78
Tc 0.0000 0.0000 0.5074  2 Fe 2.53, 2 Cl 2.63, 4 Tc 2.78
Fe 0.5000 0.5000 0.7500  4 Tc 2.53, 4 Fe 2.78

# 9
## TbPr8Sm3 (PBE)

Data for a relaxed structure of TbPr8Sm3.

Results
For the volume, the calculation gives 462.7 Å³ per cell. The formation energy comes out at 0.55 eV/atom. The raw total energy comes out at -4.2067 eV/atom.

a b c (Å): 8.5924 8.5924 8.5925
angles (deg): 93.97 117.73 117.74
With the nearest neighbours (Å) after each atom.
Fractional coordinates of all 12 atoms:
Tb 0.0000 0.0000 0.0000  8 Pr 3.13-3.31
Pr 0.4981 0.2464 0.2464  1 Tb 3.13, 1 Sm 3.15, 2 Pr 3.32-3.34
Pr 0.5019 0.7483 0.7483  1 Tb 3.13, 1 Sm 3.15, 2 Pr 3.32-3.34
Pr 0.0000 0.7536 0.2517  1 Tb 3.13, 1 Sm 3.15, 2 Pr 3.32-3.34
Pr 0.0000 0.2517 0.7536  1 Tb 3.13, 1 Sm 3.15, 2 Pr 3.32-3.34
Pr 0.2482 0.3734 0.3734  3 Pr 3.12-3.34, 1 Tb 3.31, 1 Sm 3.33
Pr 0.7518 0.1252 0.1252  3 Pr 3.12-3.34, 1 Tb 3.31, 1 Sm 3.33
Pr 0.0000 0.6266 0.8748  3 Pr 3.12-3.34, 1 Tb 3.31, 1 Sm 3.33
Pr 0.0000 0.8748 0.6266  3 Pr 3.12-3.34, 1 Tb 3.31, 1 Sm 3.33
Sm 0.5000 0.7500 0.2500  4 Pr 3.52
Sm 0.5000 0.2500 0.7500  4 Pr 3.52
Sm 0.0000 0.5000 0.5000  8 Pr 3.15-3.33

# 10
## MgH6Ir3 (PBE)

Data for a relaxed structure of MgH6Ir3.

Results
For the volume, the calculation gives 84.3 Å³ per cell. The energy above the most stable polymorph in this dataset comes out at 46 meV/atom. The raw total energy comes out at -4.8004 eV/atom.

a b c (Å): 4.4726 4.4764 4.4727
angles (deg): 100.63 79.44 79.37
With the nearest neighbours (Å) after each atom.
Fractional coordinates of all 10 atoms:
Mg 0.1412 0.1679 0.2125  3 H 2.28
H 0.8160 0.9251 0.9692  3 Ir 1.84
H 0.3845 0.9251 0.5376  3 Ir 1.84
H 0.9036 0.4062 0.7978  3 Ir 1.84-1.92
H 0.3843 0.4933 0.9694  3 Ir 1.84
H 0.5559 0.4062 0.4500  3 Ir 1.84-1.92
H 0.9038 0.7545 0.4498  3 Ir 1.84-1.92
Ir 0.6481 0.1415 0.7055  6 H 1.84-1.92
Ir 0.6483 0.6615 0.1852  6 H 1.84-1.92
Ir 0.1684 0.6616 0.7054  6 H 1.84-1.92

# 11
## Ca2Pm4Sm5 (PBE)

Data for a relaxed structure of Ca2Pm4Sm5.

Results
For the volume, the calculation gives 400.4 Å³ per cell. The formation energy comes out at 0.16 eV/atom. The raw total energy comes out at -4.0732 eV/atom.

a b c (Å): 3.6597 12.2353 9.5729
angles (deg): 107.57 101.02 90.00
With the nearest neighbours (Å) after each atom.
Fractional coordinates of all 11 atoms:
Ca 0.6851 0.3182 0.3701  2 Ca 3.66, 4 Pm 3.75-3.84, 5 Sm 3.89-4.06
Ca 0.3149 0.6818 0.6299  2 Ca 3.66, 4 Pm 3.75-3.84, 5 Sm 3.89-4.06
Pm 0.3328 0.2299 0.6656  5 Sm 3.39-3.51, 4 Pm 3.53-3.66, 2 Ca 3.75
Pm 0.0035 0.7544 0.0070  5 Sm 3.34-3.73, 4 Pm 3.53-3.66
Pm 0.6672 0.7701 0.3344  5 Sm 3.39-3.51, 4 Pm 3.53-3.66, 2 Ca 3.75
Pm 0.9965 0.2456 0.9930  5 Sm 3.34-3.73, 4 Pm 3.53-3.66
Sm 0.9048 0.4764 0.8096  4 Pm 3.34-3.73, 3 Sm 3.45-3.66
Sm 0.0952 0.5236 0.1904  4 Pm 3.34-3.73, 3 Sm 3.45-3.66
Sm 0.8320 0.9849 0.6640  4 Pm 3.39-3.70, 6 Sm 3.60-3.70
Sm 0.5000 0.0000 0.0000  4 Pm 3.54, 6 Sm 3.60-3.66
Sm 0.1680 0.0151 0.3360  4 Pm 3.39-3.70, 6 Sm 3.60-3.70

# 12
## V4Ni2Ge (PBE)

Data for a relaxed structure of V4Ni2Ge.

Results
For the volume, the calculation gives 117.5 Å³ per cell. The formation energy comes out at 0.84 eV/atom. The raw total energy comes out at -6.6797 eV/atom.

a b c (Å): 4.4712 4.4712 6.6744
angles (deg): 70.43 70.43 90.00
With the nearest neighbours (Å) after each atom.
Fractional coordinates of all 7 atoms:
Ni 0.3937 0.3937 0.2125  1 V 2.22
Ni 0.6063 0.6063 0.7875  1 V 2.22
Ge 0.0000 0.0000 0.0000  6 V 2.24-2.41
V 0.2048 0.2048 0.5904  1 Ni 2.22, 1 Ge 2.41
V 0.7952 0.7952 0.4096  1 Ni 2.22, 1 Ge 2.41
V 0.0000 0.5000 0.0000  2 Ge 2.24
V 0.5000 0.0000 0.0000  2 Ge 2.24

Question: Which of these has the highest volume?
Answer: TbPr8Sm3

Question: Which of these has the lowest raw total energy?
Answer: FeTc2Cl